# PBE+U TlNiMoF6, relaxed
data_TlNiMoF6
_chemical_formula_sum 'Tl2 Ni2 Mo2 F12'
_cell_length_a 5.5694
_cell_length_b 5.5694
_cell_length_c 11.9474
_cell_angle_alpha 90.00
_cell_angle_beta 90.00
_cell_angle_gamma 120.00
_space_group_name_H-M_alt 'P -3 1 c'
_space_group_IT_number 163
_space_group_name_Hall '-P 3 2c'
loop_
_atom_site_label
_atom_site_type_symbol
_atom_site_fract_x
_atom_site_fract_y
_atom_site_fract_z
Tl1 Tl 0.0000 0.0000 0.0000
Ni1 Ni 0.3333 0.6667 0.2500
Mo1 Mo 0.3333 0.6667 0.7500
F1 F 0.0087 0.3737 0.1579
# total energy: -4.873 eV/atom